## Li2VO2F (GGA+U)

Data for an optimized crystal structure of Li2VO2F.

energy above the most stable polymorph in this dataset = 1.32 kcal/mol of atoms
N(E_F) = 0.00 states/eV/f.u.
space group = C2

Cell: 5.173 5.173 9.874 Å, 95.02 95.02 120.22°
Positions (direct):
Li (0.000, 0.000, 0.000)
Li (0.092, 0.412, 0.247)
Li (0.265, 0.269, 0.749)
Li (0.411, 0.116, 0.243)
Li (0.588, 0.908, 0.753)
Li (0.652, 0.348, 0.000)
Li (0.731, 0.735, 0.251)
Li (0.884, 0.589, 0.757)
V (0.164, 0.836, 0.500)
V (0.351, 0.649, 0.000)
V (0.497, 0.503, 0.500)
V (0.830, 0.170, 0.500)
O (0.124, 0.129, 0.383)
O (0.202, 0.541, 0.615)
O (0.369, 0.388, 0.119)
O (0.459, 0.798, 0.385)
O (0.536, 0.209, 0.617)
O (0.612, 0.631, 0.881)
O (0.791, 0.464, 0.383)
O (0.871, 0.876, 0.617)
F (0.056, 0.713, 0.118)
F (0.287, 0.944, 0.882)
F (0.703, 0.042, 0.123)
F (0.958, 0.297, 0.877)